No. 1
## Sr4Al (PBE)

Data for a geometry-optimized Sr4Al structure.

Unit cell a=6.6774 b=6.6774 c=6.6774 alpha=101.87 beta=101.87 gamma=126.06
With the nearest neighbours (Å) after each atom.
Positions (direct):
Sr 0.8024 0.3711 0.1735  1 Al 3.54, 4 Sr 3.76-3.91
Sr 0.3711 0.1976 0.5687  1 Al 3.54, 4 Sr 3.76-3.91
Sr 0.1976 0.6289 0.8265  1 Al 3.54, 4 Sr 3.76-3.91
Sr 0.6289 0.8024 0.4313  1 Al 3.54, 4 Sr 3.76-3.91
Al 0.0000 0.0000 0.0000  4 Sr 3.54

energy above the lowest structure with this stoichiometry	0.014	eV per atom
energy	-2.00	eV per atom
volume	215	Å³/cell
SG	I4/m (87)
ΔH_f (0 K)	0.10	eV/atom


No. 2
## AlTlBi2Ru (PBE)

Data for a geometry-optimized AlTlBi2Ru structure.

Unit cell a=5.5181 b=5.5181 c=4.6461 alpha=90.00 beta=90.00 gamma=90.00
With the nearest neighbours (Å) after each atom.
Positions (direct):
Ru 0.0000 0.0000 0.5000  2 Al 2.32
Tl 0.5000 0.5000 0.5000  8 Bi 3.61, 4 Ru 3.90
Bi 0.0000 0.5000 0.0000  2 Al 2.76
Bi 0.5000 0.0000 0.0000  2 Al 2.76
Al 0.0000 0.0000 0.0000  2 Ru 2.32

energy	-3.92	eV per atom
volume	141	Å³/cell
SG	P4/mmm (123)
ΔH_f (0 K)	0.71	eV/atom


No. 3
## Sb3WBr (PBE)

Data for a geometry-optimized Sb3WBr structure.

Unit cell a=5.2546 b=5.2546 c=5.2546 alpha=90.00 beta=90.00 gamma=90.00
With the nearest neighbours (Å) after each atom.
Positions (direct):
Sb 0.0000 0.5000 0.0000  2 W 2.63
Sb 0.0000 0.0000 0.5000  2 W 2.63
Sb 0.5000 0.0000 0.0000  2 W 2.63
Br 0.5000 0.5000 0.5000  12 Sb 3.72
W 0.0000 0.0000 0.0000  6 Sb 2.63

energy above the lowest structure with this stoichiometry	0.000	eV per atom
energy	-5.05	eV per atom
volume	145	Å³/cell
SG	Pm-3m (221)
formation energy from raw total energies	0.352	eV per atom


No. 4
## Ce5GaPt (PBE)

Data for a geometry-optimized Ce5GaPt structure.

Unit cell a=7.1363 b=7.1363 c=10.7291 alpha=67.80 beta=67.80 gamma=47.36
With the nearest neighbours (Å) after each atom.
Positions (direct):
Ce 0.7687 0.7407 0.1245  1 Pt 2.92, 3 Ce 3.00-3.06, 1 Ga 3.03
Ce 0.3787 0.3498 0.5687  5 Ce 3.00-3.30, 2 Ga 3.13-3.14, 1 Pt 3.22
Ce 0.7407 0.7687 0.6245  1 Pt 2.92, 3 Ce 3.00-3.06, 1 Ga 3.03
Ce 0.0033 0.9967 0.2500  2 Pt 2.68, 2 Ga 2.86-2.87
Ce 0.6502 0.6213 0.9313  5 Ce 3.00-3.30, 2 Ga 3.13-3.14, 1 Pt 3.22
Ce 0.3498 0.3787 0.0687  5 Ce 3.00-3.30, 2 Ga 3.13-3.14, 1 Pt 3.22
Ce 0.9967 0.0033 0.7500  2 Pt 2.68, 2 Ga 2.86-2.87
Ce 0.2593 0.2313 0.3755  1 Pt 2.92, 3 Ce 3.00-3.06, 1 Ga 3.03
Ce 0.6213 0.6502 0.4313  5 Ce 3.00-3.30, 2 Ga 3.13-3.14, 1 Pt 3.22
Ce 0.2313 0.2593 0.8755  1 Pt 2.92, 3 Ce 3.00-3.06, 1 Ga 3.03
Ga 0.5029 0.4971 0.2500  8 Ce 2.86-3.14
Ga 0.4971 0.5029 0.7500  8 Ce 2.86-3.14
Pt 0.0000 0.0000 0.0000  4 Ce 2.68-2.92
Pt 0.0000 0.0000 0.5000  4 Ce 2.68-2.92

energy	-5.80	eV per atom
volume	366	Å³/cell
SG	C2/c (15)
ΔH_f (0 K)	-0.26	eV/atom


No. 5
## PrGa3IrRu (PBE)

Data for a geometry-optimized PrGa3IrRu structure.

Unit cell a=5.9043 b=7.9256 c=6.7246 alpha=126.11 beta=90.00 gamma=90.00
With the nearest neighbours (Å) after each atom.
Positions (direct):
Pr 0.7500 0.2640 0.5279  2 Ga 2.96, 1 Ru 3.07, 1 Ir 3.11
Pr 0.2500 0.7360 0.4721  2 Ga 2.96, 1 Ru 3.07, 1 Ir 3.11
Ga 0.2500 0.2388 0.4775  1 Ru 2.33, 1 Ir 2.35
Ga 0.0000 0.2548 0.0000  2 Ru 2.49, 2 Ir 2.51
Ga 0.5000 0.7452 0.0000  2 Ru 2.49, 2 Ir 2.51
Ga 0.5000 0.2548 0.0000  2 Ru 2.49, 2 Ir 2.51
Ga 0.0000 0.7452 0.0000  2 Ru 2.49, 2 Ir 2.51
Ga 0.7500 0.7612 0.5225  1 Ru 2.33, 1 Ir 2.35
Ir 0.2500 0.0221 0.0442  5 Ga 2.35-2.51
Ir 0.7500 0.9779 0.9558  5 Ga 2.35-2.51
Ru 0.2500 0.4534 0.9069  5 Ga 2.33-2.49
Ru 0.7500 0.5466 0.0931  5 Ga 2.33-2.49

energy	-5.71	eV per atom
volume	254	Å³/cell
SG	Cmcm (63)
ΔH_f (0 K)	-0.37	eV/atom


No. 6
## RbTl2VTc (PBE)

Data for a geometry-optimized RbTl2VTc structure.

Unit cell a=5.3808 b=5.4991 c=5.3808 alpha=90.00 beta=90.00 gamma=90.00
With the nearest neighbours (Å) after each atom.
Positions (direct):
Tl 0.0000 0.0000 0.5000  2 Tc 2.69
Tl 0.5000 0.0000 0.0000  2 Tc 2.69
Tc 0.0000 0.0000 0.0000  4 Tl 2.69, 2 Rb 2.75
Rb 0.0000 0.5000 0.0000  2 Tc 2.75
V 0.5000 0.5000 0.5000  4 Rb 3.80, 8 Tl 3.85

energy above the lowest structure with this stoichiometry	0.000	eV per atom
energy	-3.36	eV per atom
volume	159	Å³/cell
SG	P4/mmm (123)
ΔH_f (0 K)	1.67	eV/atom


No. 7
## MgCoW2 (PBE)

Data for a geometry-optimized MgCoW2 structure.

Unit cell a=3.1362 b=3.1362 c=6.3068 alpha=90.00 beta=90.00 gamma=90.00
With the nearest neighbours (Å) after each atom.
Positions (direct):
Co 0.0000 0.0000 0.4735  5 W 2.57-2.82, 4 Mg 2.76
Mg 0.5000 0.5000 0.7335  4 Co 2.76, 5 W 2.89-2.95
W 0.0000 0.0000 0.0267  4 W 2.68, 1 Co 2.82, 4 Mg 2.89
W 0.5000 0.5000 0.2663  4 Co 2.57, 4 W 2.68

energy	-8.30	eV per atom
volume	62	Å³/cell
SG	P4mm (99)
ΔH_f (0 K)	0.35	eV/atom


No. 8
## CeTlPbI6 (PBE)

Data for a geometry-optimized CeTlPbI6 structure.

Unit cell a=8.2179 b=8.2179 c=15.2486 alpha=90.00 beta=90.00 gamma=120.00
With the nearest neighbours (Å) after each atom.
Positions (direct):
Ce 0.6667 0.3333 0.2500  6 I 3.16
Ce 0.3333 0.6667 0.7500  6 I 3.16
Tl 0.0000 0.0000 0.0000  6 I 3.56
Tl 0.0000 0.0000 0.5000  6 I 3.56
Pb 0.3333 0.6667 0.2500  6 I 3.26
Pb 0.6667 0.3333 0.7500  6 I 3.26
I 0.6448 0.6355 0.1303  1 Ce 3.16, 1 Pb 3.26
I 0.9907 0.3552 0.1303  1 Ce 3.16, 1 Pb 3.26
I 0.3552 0.9907 0.6303  1 Ce 3.16, 1 Pb 3.26
I 0.0093 0.6448 0.8697  1 Ce 3.16, 1 Pb 3.26
I 0.3645 0.3552 0.3697  1 Ce 3.16, 1 Pb 3.26
I 0.9907 0.6355 0.3697  1 Ce 3.16, 1 Pb 3.26
I 0.6355 0.9907 0.8697  1 Ce 3.16, 1 Pb 3.26
I 0.6448 0.0093 0.3697  1 Ce 3.16, 1 Pb 3.26
I 0.0093 0.3645 0.6303  1 Ce 3.16, 1 Pb 3.26
I 0.3645 0.0093 0.1303  1 Ce 3.16, 1 Pb 3.26
I 0.6355 0.6448 0.6303  1 Ce 3.16, 1 Pb 3.26
I 0.3552 0.3645 0.8697  1 Ce 3.16, 1 Pb 3.26

energy	-3.33	eV per atom
volume	892	Å³/cell
SG	P-31c (163)
formation energy from raw total energies	-0.961	eV per atom


No. 9
## La4Au2I3 (PBE)

Data for a geometry-optimized La4Au2I3 structure.

Unit cell a=4.3979 b=4.3979 c=19.8568 alpha=90.05 beta=89.95 gamma=120.00
With the nearest neighbours (Å) after each atom.
Positions (direct):
La 0.3337 0.6663 0.8830  3 Au 3.05
La 0.9992 0.0008 0.2918  3 Au 3.10-3.11, 3 I 3.32
La 0.0008 0.9992 0.7082  3 Au 3.10-3.11, 3 I 3.32
La 0.6663 0.3337 0.1170  3 Au 3.05
Au 0.6672 0.3328 0.7982  6 La 3.05-3.11
Au 0.3328 0.6672 0.2018  6 La 3.05-3.11
I 0.6656 0.3344 0.3997  3 La 3.32
I 0.0000 0.0000 0.0000  6 La 3.44
I 0.3344 0.6656 0.6003  3 La 3.32

energy	-4.48	eV per atom
volume	333	Å³/cell
SG	C2/m (12)
formation energy from raw total energies	-1.047	eV per atom


No. 10
## CsAgHgSe2 (PBE)

Data for a geometry-optimized CsAgHgSe2 structure.

Unit cell a=4.5155 b=7.5755 c=10.4564 alpha=102.18 beta=90.00 gamma=107.34
With the nearest neighbours (Å) after each atom.
Positions (direct):
Cs 0.3301 0.6602 0.3201  5 Se 3.58-3.77
Cs 0.6699 0.3398 0.6799  5 Se 3.58-3.77
Ag 0.6419 0.2837 0.0678  3 Se 2.66-2.70
Ag 0.3581 0.7163 0.9322  3 Se 2.66-2.70
Hg 0.0352 0.0703 0.2022  3 Se 2.62-2.73
Hg 0.9648 0.9297 0.7978  3 Se 2.62-2.73
Se 0.3787 0.7574 0.6813  1 Ag 2.70, 2 Hg 2.73
Se 0.6213 0.2426 0.3187  1 Ag 2.70, 2 Hg 2.73
Se 0.1400 0.2801 0.9335  1 Hg 2.62, 2 Ag 2.66
Se 0.8600 0.7199 0.0665  1 Hg 2.62, 2 Ag 2.66

energy	-2.72	eV per atom
volume	333	Å³/cell
SG	C2/m (12)
formation energy from raw total energies	-0.523	eV per atom


No. 11
## UAg2Hg2O6 (PBE)

Data for a geometry-optimized UAg2Hg2O6 structure.

Unit cell a=5.8564 b=5.8564 c=6.3682 alpha=108.58 beta=108.58 gamma=105.59
With the nearest neighbours (Å) after each atom.
Positions (direct):
U 0.0000 0.0000 0.5000  6 O 2.07-2.24
Ag 0.3547 0.6453 0.5000  4 O 2.38-2.43
Ag 0.6453 0.3547 0.5000  4 O 2.38-2.43
Hg 0.8061 0.1939 0.0000  4 O 2.30-2.38
Hg 0.1939 0.8061 0.0000  4 O 2.30-2.38
O 0.8334 0.8334 0.7163  1 U 2.24, 2 Hg 2.38, 2 Ag 2.43
O 0.0638 0.3729 0.7359  1 U 2.07, 1 Hg 2.30
O 0.1666 0.1666 0.2837  1 U 2.24, 2 Hg 2.38, 2 Ag 2.43
O 0.3729 0.0638 0.7359  1 U 2.07, 1 Hg 2.30
O 0.9362 0.6271 0.2641  1 U 2.07, 1 Hg 2.30
O 0.6271 0.9362 0.2641  1 U 2.07, 1 Hg 2.30

energy	-5.41	eV per atom
volume	179	Å³/cell
SG	C2/m (12)
formation energy from raw total energies	-1.108	eV per atom


No. 12
## Zr2NiPtW (PBE)

Data for a geometry-optimized Zr2NiPtW structure.

Unit cell a=4.7902 b=4.4088 c=4.7902 alpha=90.00 beta=90.00 gamma=90.00
With the nearest neighbours (Å) after each atom.
Positions (direct):
Zr 0.0000 0.0000 0.5000  2 Ni 2.40
Zr 0.5000 0.0000 0.0000  2 Ni 2.40
W 0.0000 0.5000 0.0000  2 Ni 2.20
Pt 0.5000 0.5000 0.5000  8 Zr 3.26, 4 W 3.39
Ni 0.0000 0.0000 0.0000  2 W 2.20, 4 Zr 2.40

energy	-7.87	eV per atom
volume	101	Å³/cell
SG	P4/mmm (123)
ΔH_f (0 K)	0.51	eV/atom


energy of number 2 (AlTlBi2Ru)? -3.92 eV per atom


Look up the volume of the ninth one. 333 Å³/cell